(1)
Hf3Tl2S8, relaxed, DFT PBE; density = 6070 kg/m3; formation energy (no corrections) = -1095 meV per atom
1.0
6.470 0.000 0.450
0.000 7.507 0.000
-2.121 -3.754 6.616
Hf Tl S
3 2 8
direct
0.500 0.000 0.000 Hf
0.000 0.254 0.000 Hf
0.000 0.746 0.000 Hf
0.356 0.270 0.539 Tl
0.644 0.730 0.461 Tl
0.933 0.610 0.219 S
0.067 0.390 0.781 S
0.883 0.104 0.208 S
0.117 0.896 0.792 S
0.620 0.661 0.787 S
0.620 0.126 0.787 S
0.380 0.874 0.213 S
0.380 0.339 0.213 S

(2)
Hf2TlS, relaxed, DFT PBE; density = 12323 kg/m3; formation energy (no corrections) = -97 meV per atom
1.0
-2.096 -3.635 2.404
-4.600 -1.172 -0.920
-1.031 -4.135 -2.287
Tl Hf S
1 2 1
direct
0.500 0.500 0.500 Tl
0.250 0.250 0.250 Hf
0.750 0.750 0.750 Hf
0.000 0.000 0.000 S

(3)
HfTl2S2, relaxed, DFT PBE; density = 8870 kg/m3; formation energy (no corrections) = 122 meV per atom
1.0
3.827 0.000 0.000
0.000 3.827 0.000
1.914 1.914 8.325
Tl Hf S
2 1 2
direct
0.750 0.250 0.500 Tl
0.250 0.750 0.500 Tl
0.000 0.000 0.000 Hf
0.416 0.416 0.168 S
0.584 0.584 0.832 S

(4)
Hf6TlS, relaxed, DFT PBE; density = 12097 kg/m3; formation energy (no corrections) = -194 meV per atom
1.0
-2.176 2.366 -4.885
-0.246 -5.752 -1.022
-4.211 0.883 3.960
Hf Tl S
6 1 1
direct
0.217 0.217 0.639 Hf
0.639 0.217 0.217 Hf
0.783 0.783 0.361 Hf
0.783 0.361 0.783 Hf
0.361 0.783 0.783 Hf
0.217 0.639 0.217 Hf
0.000 0.000 0.000 Tl
0.500 0.500 0.500 S

(5)
HfTlS3, relaxed, DFT PBE; density = 6422 kg/m3; formation energy (no corrections) = -907 meV per atom
1.0
3.765 -0.019 0.000
0.016 6.737 0.000
0.000 0.000 9.765
Hf Tl S
2 2 6
direct
0.500 0.000 0.000 Hf
0.500 0.000 0.500 Hf
0.998 0.562 0.250 Tl
0.002 0.438 0.750 Tl
0.999 0.762 0.553 S
0.001 0.238 0.447 S
0.001 0.238 0.053 S
0.999 0.762 0.947 S
0.499 0.869 0.250 S
0.501 0.131 0.750 S

(6)
Hf4TlS, relaxed, DFT PBE; density = 11952 kg/m3; formation energy (no corrections) = -239 meV per atom
1.0
-1.130 0.635 -2.969
3.940 -5.248 -2.622
-9.553 -6.234 2.302
Hf Tl S
8 2 2
direct
0.500 0.210 0.349 Hf
0.000 0.290 0.151 Hf
0.500 0.790 0.651 Hf
0.000 0.710 0.849 Hf
0.999 0.639 0.343 Hf
0.499 0.861 0.157 Hf
0.001 0.361 0.657 Hf
0.501 0.139 0.843 Hf
0.000 0.000 0.500 Tl
0.500 0.500 0.000 Tl
0.500 0.500 0.500 S
0.000 0.000 0.000 S

(7)
Hf2TlS, relaxed, DFT PBE; density = 11998 kg/m3; formation energy (no corrections) = -619 meV per atom
1.0
3.543 0.000 0.000
1.772 3.068 0.000
1.772 1.023 7.554
Hf Tl S
2 1 1
direct
0.063 0.063 0.811 Hf
0.271 0.271 0.187 Hf
0.499 0.499 0.502 Tl
0.667 0.667 0.999 S

(8)
Tm2HfTl3S6, relaxed, DFT PBE; density = 7088 kg/m3; formation energy (no corrections) = -1354 meV per atom
1.0
6.636 -0.003 -0.015
-3.319 5.746 -0.015
-1.124 -1.946 8.134
Tm Hf Tl S
2 1 3 6
direct
0.333 0.667 0.000 Tm
0.667 0.333 0.000 Tm
0.000 0.000 0.000 Hf
0.164 0.836 0.500 Tl
0.836 0.164 0.500 Tl
0.500 0.500 0.500 Tl
0.938 0.620 0.820 S
0.744 0.744 0.180 S
0.062 0.380 0.180 S
0.620 0.938 0.820 S
0.256 0.256 0.820 S
0.380 0.062 0.180 S